No. 1
The following is a PBE-GGA calculation of Y2RuI after structural relaxation, from the Alexandria database.

Cell: 4.0638 4.0638 23.7647 Å, 90.00 90.00 120.00°
Space group R-3m (No. 166, hexagonal axes)
Symmetry-distinct sites (fractional):
Y (0.0000, 0.0000, 0.2276) [6 per cell]
Ru (0.0000, 0.0000, 0.5000) [3 per cell]
I (0.0000, 0.0000, 0.0000) [3 per cell]

Summary:
- magnetization (μB/cell) = 0.000
- DOS at the Fermi energy (states/eV/atom) = 0.593
- formation energy (no corrections) (eV/atom) = -0.5853

***

No. 2
The following is a PBE-GGA calculation of CePr12Tm3 after structural relaxation, from the Alexandria database.

Cell: 5.179 5.179 20.690 Å, 90.00 90.00 90.00°
Space group P4/mmm (No. 123)
Symmetry-distinct sites (fractional):
Ce (0.000, 0.000, 0.000) [1 per cell]
Pr (0.000, 0.500, 0.125) [4 per cell]
Pr (0.000, 0.500, 0.375) [4 per cell]
Pr (0.500, 0.500, 0.000) [1 per cell]
Pr (0.500, 0.500, 0.252) [2 per cell]
Pr (0.500, 0.500, 0.500) [1 per cell]
Tm (0.000, 0.000, 0.251) [2 per cell]
Tm (0.000, 0.000, 0.500) [1 per cell]

Summary:
- magnetization (μB/cell) = 1.149
- DOS at the Fermi energy (states/eV/atom) = 1.750
- formation enthalpy at 0 K (eV/atom) = 0.03

***

Which of these has the lowest magnetization? Y2RuI

***

Which of these has the highest magnetization? CePr12Tm3

***

Repeat the first record exactly.
The following is a PBE-GGA calculation of Y2RuI after structural relaxation, from the Alexandria database.

Cell: 4.0638 4.0638 23.7647 Å, 90.00 90.00 120.00°
Space group R-3m (No. 166, hexagonal axes)
Symmetry-distinct sites (fractional):
Y (0.0000, 0.0000, 0.2276) [6 per cell]
Ru (0.0000, 0.0000, 0.5000) [3 per cell]
I (0.0000, 0.0000, 0.0000) [3 per cell]

Summary:
- magnetization (μB/cell) = 0.000
- DOS at the Fermi energy (states/eV/atom) = 0.593
- formation energy (no corrections) (eV/atom) = -0.5853

***

Look up the magnetization of the first one. 0.000 μB/cell